No. 1
VASP calculation (GGA-PBE) on crystalline BaLiAcO4 at its relaxed geometry.

N(E_F) (states/eV/cell): 8.56
Energy relative to the elements, uncorrected (eV/atom): -2.181

Cell and atoms, written as extended XYZ:
```
14
Lattice="-4.6849 -2.7402 -0.5059 1.3280 -1.3009 -5.2520 5.4849 -4.4138 2.4802" Properties=species:S:1:pos:R:3 pbc="T T T"
Ba 0.9994 -1.5537 -0.8399
Ba 1.1285 -6.9011 -2.4377
Li 2.5038 -3.7509 -2.8703
Li -0.3759 -4.7039 -0.4074
Ac -0.6076 -3.7058 -3.6682
Ac 2.7355 -4.7490 0.3905
O 0.5927 -6.4867 0.2792
O 3.7659 -6.0740 -1.9757
O 1.5352 -1.9681 -3.5568
O -1.6380 -2.3809 -1.3019
O 1.0640 -4.2274 -1.6388
O 2.7424 -2.2069 1.2401
O 0.4000 -3.5770 0.9872
O 3.4064 -2.8574 -1.3859
```

No. 2
VASP calculation (GGA-PBE) on crystalline Na2Pt at its relaxed geometry.

DFT total energy (eV/atom): -2.92
N(E_F) (states/eV/cell): 3.07

Cell and atoms, written as extended XYZ:
```
6
Lattice="-1.4882 1.4882 15.2644 1.4882 -1.4882 15.2644 1.4882 1.4882 -15.2644" Properties=species:S:1:pos:R:3 pbc="T T T"
Na 0.0000 0.0000 13.2165
Na 0.0000 0.0000 17.3123
Na 1.4882 0.0000 5.5843
Na 1.4882 0.0000 9.6801
Pt 0.0000 1.4882 7.6322
Pt 0.0000 0.0000 0.0000
```

No. 3
VASP calculation (GGA-PBE) on crystalline CrNi5 at its relaxed geometry.

DFT total energy (eV/atom): -6.41
N(E_F) (states/eV/cell): 8.71

Cell and atoms, written as extended XYZ:
```
6
Lattice="4.3138 0.0000 0.0000 -2.1569 3.7359 0.0000 0.0000 0.0000 4.0550" Properties=species:S:1:pos:R:3 pbc="T T T"
Cr 1.4379 0.0000 2.0275
Ni 0.0002 0.0000 0.0000
Ni 2.1568 1.2451 0.0000
Ni -0.0001 2.4908 0.0000
Ni -0.7190 1.2453 2.0275
Ni 1.4379 2.4906 2.0275
```

No. 4
VASP calculation (GGA-PBE) on crystalline LaV3B at its relaxed geometry.

DFT total energy (eV/atom): -5.32
N(E_F) (states/eV/cell): 5.94

Cell and atoms, written as extended XYZ:
```
5
Lattice="-1.6579 1.2981 3.9727 1.6302 -3.7345 1.9006 3.8483 2.1412 0.9064" Properties=species:S:1:pos:R:3 pbc="T T T"
B 1.9103 -0.1476 3.3898
La 0.0000 0.0000 0.0000
V 0.8151 -1.8672 0.9503
V 1.9242 1.0706 0.4532
V -0.8290 0.6490 1.9863
```

No. 5
VASP calculation (GGA-PBE) on crystalline AcGa2RuRh at its relaxed geometry.

DFT total energy (eV/atom): -6.00
N(E_F) (states/eV/cell): 1.52

Cell and atoms, written as extended XYZ:
```
5
Lattice="-0.9090 0.9442 -4.2916 1.7736 -3.9308 -1.2405 -4.8723 -0.6576 3.2332" Properties=species:S:1:pos:R:3 pbc="T T T"
Ac 0.0000 0.0000 0.0000
Ga -0.7876 -2.0842 -2.6377
Ga -3.2201 -1.5599 0.3388
Ru -1.3332 -3.0408 -0.3866
Rh -2.6745 -0.6033 -1.9122
```

No. 6
VASP calculation (GGA-PBE) on crystalline BaHg2H2 at its relaxed geometry.

DFT total energy (eV/atom): -1.93
N(E_F) (states/eV/cell): 3.38

Cell and atoms, written as extended XYZ:
```
10
Lattice="-1.9150 4.0674 5.2131 -5.1660 -4.3078 1.4634 2.8043 -2.3818 2.8884" Properties=species:S:1:pos:R:3 pbc="T T T"
H -3.6865 -2.1914 1.7722
H -5.6169 -0.9689 4.6543
H -3.3945 1.9509 4.9043
H -1.4641 0.7285 2.0222
Hg -2.2909 -3.3825 3.2225
Hg -4.2117 -2.1521 6.1020
Hg -1.9858 0.7603 6.3423
Hg -0.0650 -0.4702 3.4629
Ba 0.0000 0.0000 0.0000
Ba -3.5405 -0.1202 3.3382
```

No. 7
VASP calculation (GGA-PBE) on crystalline ZrSn2WS at its relaxed geometry.

N(E_F) (states/eV/cell): 5.76
Energy relative to the elements, uncorrected (eV/atom): 1.456

Cell and atoms, written as extended XYZ:
```
5
Lattice="-3.9157 -1.2170 3.7384 -3.2223 -0.6100 -3.5736 1.3668 -5.3686 -0.3161" Properties=species:S:1:pos:R:3 pbc="T T T"
Zr 0.0000 0.0000 0.0000
S -2.8856 -3.5978 -0.0756
Sn 0.6834 -2.6843 -0.1581
Sn -1.9579 -0.6085 1.8692
W -1.6111 -0.3050 -1.7868
```

No. 8
VASP calculation (GGA-PBE) on crystalline SrTaSi3 at its relaxed geometry.

N(E_F) (states/eV/cell): 6.24
Energy relative to the elements, uncorrected (eV/atom): 2.303

Cell and atoms, written as extended XYZ:
```
5
Lattice="5.0311 0.0000 0.0000 0.0000 5.0311 0.0000 0.0000 0.0000 5.0311" Properties=species:S:1:pos:R:3 pbc="T T T"
Sr 0.0000 0.0000 0.0000
Si 0.0000 2.5155 0.0000
Si 0.0000 0.0000 2.5155
Si 2.5155 0.0000 0.0000
Ta 2.5155 2.5155 2.5155
```

No. 9
VASP calculation (GGA-PBE) on crystalline Pr2ZnAgO5 at its relaxed geometry.

N(E_F) (states/eV/cell): 5.62
Energy relative to the elements, uncorrected (eV/atom): -1.923

Cell and atoms, written as extended XYZ:
```
18
Lattice="5.7735 0.0000 0.0000 0.0000 6.8522 0.0000 0.0000 0.0000 6.8522" Properties=species:S:1:pos:R:3 pbc="T T T"
Pr 2.8868 4.6287 1.2026
Pr 2.8868 1.2026 2.2235
Pr 2.8868 5.6496 4.6287
Pr 2.8868 2.2235 5.6496
Zn 0.0000 0.0000 3.4261
Zn 0.0000 3.4261 0.0000
Ag 0.0000 3.4261 3.4261
Ag 0.0000 0.0000 0.0000
O 2.8868 3.4261 3.4261
O 2.8868 0.0000 0.0000
O 1.4316 0.9140 4.3401
O 1.4316 5.9382 2.5121
O 1.4316 2.5121 0.9140
O 1.4316 4.3401 5.9382
O 4.3419 0.9140 4.3401
O 4.3419 4.3401 5.9382
O 4.3419 5.9382 2.5121
O 4.3419 2.5121 0.9140
```

No. 10
VASP calculation (GGA-PBE) on crystalline NaIn2Rh at its relaxed geometry.

DFT total energy (eV/atom): -3.75
N(E_F) (states/eV/cell): 2.69

Cell and atoms, written as extended XYZ:
```
4
Lattice="3.1764 0.0000 0.0000 0.0000 3.1764 0.0000 0.0000 0.0000 8.5702" Properties=species:S:1:pos:R:3 pbc="T T T"
Na 1.5882 1.5882 4.2851
Rh 1.5882 1.5882 0.0000
In 0.0000 0.0000 6.8370
In 0.0000 0.0000 1.7332
```

No. 11
VASP calculation (GGA-PBE) on crystalline Li2YW at its relaxed geometry.

DFT total energy (eV/atom): -5.26
N(E_F) (states/eV/cell): 2.88

Cell and atoms, written as extended XYZ:
```
4
Lattice="5.2725 0.0000 0.0000 0.0000 2.7918 0.0120 0.0000 0.2660 5.3244" Properties=species:S:1:pos:R:3 pbc="T T T"
Li 0.0000 2.7580 0.2271
Li 0.0000 1.5626 2.4531
W 2.6363 0.7644 1.3341
Y 2.6363 2.2933 4.0023
```

No. 12
VASP calculation (GGA-PBE) on crystalline Y4TlRe at its relaxed geometry.

DFT total energy (eV/atom): -5.96
N(E_F) (states/eV/cell): 8.33

Cell and atoms, written as extended XYZ:
```
6
Lattice="0.0000 4.2693 4.2693 4.2693 0.0000 4.2693 4.2693 4.2693 0.0000" Properties=species:S:1:pos:R:3 pbc="T T T"
Y 3.2185 5.3202 5.3202
Y 5.3202 5.3202 3.2185
Y 5.3202 3.2185 5.3202
Y 3.2185 3.2185 3.2185
Tl 0.0000 0.0000 0.0000
Re 6.4040 6.4040 6.4040
```

No. 13
VASP calculation (GGA-PBE) on crystalline ZrTeAuI2 at its relaxed geometry.

N(E_F) (states/eV/cell): 3.44
Energy relative to the elements, uncorrected (eV/atom): 0.008

Cell and atoms, written as extended XYZ:
```
5
Lattice="5.6888 0.0000 0.0000 0.0000 5.6888 0.0000 0.0000 0.0000 5.6508" Properties=species:S:1:pos:R:3 pbc="T T T"
I 0.0000 2.8444 0.0000
I 2.8444 0.0000 0.0000
Te 0.0000 0.0000 2.8254
Au 2.8444 2.8444 2.8254
Zr 0.0000 0.0000 0.0000
```

No. 14
VASP calculation (GGA-PBE) on crystalline PaSe2Cl at its relaxed geometry.

Energy relative to the elements, uncorrected (eV/atom): -1.351

Cell and atoms, written as extended XYZ:
```
4
Lattice="-4.3722 1.7963 0.9166 -3.3311 0.1200 -3.4744 -1.7625 -5.0649 1.5157" Properties=species:S:1:pos:R:3 pbc="T T T"
Pa -4.0399 -0.9038 0.8835
Se -5.0542 -2.1426 -1.5229
Se -1.9843 -1.3406 -1.1012
Cl -4.9211 -3.4363 1.6414
```

No. 15
VASP calculation (GGA-PBE) on crystalline SrSiNi2 at its relaxed geometry.

N(E_F) (states/eV/cell): 8.57
Energy relative to the elements, uncorrected (eV/atom): -0.220

Cell and atoms, written as extended XYZ:
```
8
Lattice="-2.1691 -2.8357 -3.1911 4.2588 -1.6849 -1.3975 0.5817 -7.7060 2.8598" Properties=species:S:1:pos:R:3 pbc="T T T"
Sr 0.0000 0.0000 0.0000
Sr -0.2713 -6.4010 -1.3128
Si 1.0448 -2.2603 -2.2943
Si 2.9426 -5.8256 -0.4160
Ni -0.1381 -3.2038 -0.6601
Ni 1.9962 -4.0397 -1.3515
Ni 2.2797 -7.8940 0.0763
Ni 1.2050 -9.3157 -1.5224
```

No. 16
VASP calculation (GGA-PBE) on crystalline LiZnCr2 at its relaxed geometry.

DFT total energy (eV/atom): -5.21
N(E_F) (states/eV/cell): 2.54

Cell and atoms, written as extended XYZ:
```
4
Lattice="-1.9053 1.4589 0.2283 -0.4041 -0.1567 -2.3712 -5.1355 -6.9150 1.3323" Properties=species:S:1:pos:R:3 pbc="T T T"
Cr -5.0870 -6.8497 1.3197
Cr -2.6162 -3.5228 0.6787
Li -2.4386 -1.0776 -0.7384
Zn -5.0063 -4.5351 -0.0722
```

No. 17
VASP calculation (GGA-PBE) on crystalline RePt2Pb at its relaxed geometry.

DFT total energy (eV/atom): -6.65
N(E_F) (states/eV/cell): 2.88

Cell and atoms, written as extended XYZ:
```
4
Lattice="5.0444 0.0000 0.0000 0.0000 5.0444 0.0000 0.0000 0.0000 2.8262" Properties=species:S:1:pos:R:3 pbc="T T T"
Pb 0.0000 2.5222 1.4131
Pt 0.0000 0.0000 0.0000
Pt 2.5222 2.5222 0.0000
Re 2.5222 0.0000 1.4131
```

No. 18
VASP calculation (GGA-PBE) on crystalline Cs2Te5As2 at its relaxed geometry.

N(E_F) (states/eV/cell): 0.69
Energy relative to the elements, uncorrected (eV/atom): -0.383

Cell and atoms, written as extended XYZ:
```
9
Lattice="6.5310 0.0756 -2.2405 -0.7769 6.5255 -3.9773 -1.5392 -0.6447 10.1027" Properties=species:S:1:pos:R:3 pbc="T T T"
Cs 3.3129 2.2992 -0.8793
Cs 0.9020 3.6572 4.7642
Te -0.1910 3.7480 -0.6489
Te 2.7705 6.2992 -1.7873
Te 1.4444 -0.3428 5.6722
Te 4.4059 2.2084 4.5338
Te 0.0000 0.0000 0.0000
As 0.1831 6.3146 -1.2550
As 4.0318 -0.3582 5.1399
```

No. 19
VASP calculation (GGA-PBE) on crystalline Pr2Sn2Hg3 at its relaxed geometry.

DFT total energy (eV/atom): -3.02
N(E_F) (states/eV/cell): 3.88

Cell and atoms, written as extended XYZ:
```
7
Lattice="-1.6628 -3.0239 2.6423 -2.3856 -1.5382 -3.2616 9.2587 -6.0224 -1.0658" Properties=species:S:1:pos:R:3 pbc="T T T"
Pr 4.2988 -5.3931 -3.4668
Pr 2.5743 -2.1675 -0.8606
Sn 1.2929 -5.0740 -1.4186
Sn 3.9175 -5.5105 -0.2665
Hg -0.9538 -3.1823 -0.6675
Hg 6.1642 -7.4022 -1.0176
Hg 0.0000 0.0000 0.0000
```

No. 20
VASP calculation (GGA-PBE) on crystalline Tb2PmTh3As6 at its relaxed geometry.

DFT total energy (eV/atom): -6.82
N(E_F) (states/eV/cell): 5.34

Cell and atoms, written as extended XYZ:
```
12
Lattice="4.2225 0.0000 0.0000 0.0000 8.3982 0.3162 -2.1112 -2.3991 8.8595" Properties=species:S:1:pos:R:3 pbc="T T T"
Tb 2.1112 4.0007 6.1130
Tb 0.0000 1.9985 3.0626
Pm 2.1112 0.0000 0.0000
Th 2.1112 4.1991 0.1581
Th 2.1112 -0.1981 5.9683
Th 0.0000 6.1973 3.2074
As 0.0000 6.0662 6.1859
As 2.1112 4.0629 3.1623
As 2.1112 -0.0671 2.9898
As 0.0000 2.1011 0.1100
As 2.1112 3.8981 9.0657
As 0.0000 1.9363 6.0134
```